Record 1
Tb4Tm3Ru4 after structural relaxation, computed with PBE-GGA.

Computed properties:
Formation energy ... -319.8 meV per atom
Symmetry ... Immm
Raw total energy ... -6.596 eV per atom

```
Tb4Tm3Ru4
1.0
-1.743 4.404 8.198
1.743 -4.404 8.198
1.743 4.404 -8.198
Tb Tm Ru
4 3 4
Direct
0.028 0.836 0.192 Tb
0.356 0.164 0.192 Tb
0.644 0.836 0.808 Tb
0.972 0.164 0.808 Tb
0.000 0.500 0.500 Tm
0.404 0.404 0.000 Tm
0.596 0.596 0.000 Tm
0.262 0.762 0.500 Ru
0.277 0.000 0.277 Ru
0.723 0.000 0.723 Ru
0.738 0.238 0.500 Ru
```

=====

Record 2
TbTm3Ru4 after structural relaxation, computed with PBE-GGA.

Computed properties:
Formation energy ... -381.4 meV per atom
Symmetry ... P4/mmm
Raw total energy ... -7.275 eV per atom

```
TbTm3Ru4
1.0
4.761 0.000 0.000
0.000 4.761 0.000
0.000 0.000 6.749
Tb Tm Ru
1 3 4
Direct
0.000 0.000 0.000 Tb
0.000 0.000 0.500 Tm
0.500 0.500 0.000 Tm
0.500 0.500 0.500 Tm
0.000 0.500 0.252 Ru
0.000 0.500 0.748 Ru
0.500 0.000 0.252 Ru
0.500 0.000 0.748 Ru
```

=====

Record 3
Tb2TmRu2 after structural relaxation, computed with PBE-GGA.

Computed properties:
Formation energy ... -322.3 meV per atom
E above lowest polymorph ... 0.019 eV/atom
Symmetry ... P2_1/c
Raw total energy ... -6.779 eV per atom

```
Tb2TmRu2
1.0
10.272 0.000 0.000
0.000 6.711 0.000
-0.076 0.000 6.733
Tb Tm Ru
8 4 8
Direct
0.003 0.249 0.458 Tb
0.003 0.251 0.958 Tb
0.331 0.729 0.972 Tb
0.331 0.771 0.472 Tb
0.669 0.229 0.528 Tb
0.669 0.271 0.028 Tb
0.997 0.749 0.042 Tb
0.997 0.751 0.542 Tb
0.337 0.230 0.018 Tm
0.337 0.270 0.518 Tm
0.663 0.730 0.482 Tm
0.663 0.770 0.982 Tm
0.168 0.004 0.747 Ru
0.168 0.496 0.247 Ru
0.497 0.000 0.749 Ru
0.497 0.500 0.249 Ru
0.503 0.000 0.251 Ru
0.503 0.500 0.751 Ru
0.832 0.504 0.753 Ru
0.832 0.996 0.253 Ru
```

=====

Record 4
TbTm5Ru4 after structural relaxation, computed with PBE-GGA.

Computed properties:
Formation energy ... -366.9 meV per atom
Symmetry ... P4/mmm
Raw total energy ... -6.776 eV per atom

```
TbTm5Ru4
1.0
3.370 0.000 0.000
0.000 3.370 0.000
0.000 0.000 18.870
Tb Tm Ru
1 5 4
Direct
0.000 0.000 0.000 Tb
0.500 0.500 0.148 Tm
0.500 0.500 0.324 Tm
0.500 0.500 0.500 Tm
0.500 0.500 0.676 Tm
0.500 0.500 0.852 Tm
0.000 0.000 0.229 Ru
0.000 0.000 0.411 Ru
0.000 0.000 0.589 Ru
0.000 0.000 0.771 Ru
```

=====

Record 5
TbTmRu after structural relaxation, computed with PBE-GGA.

Computed properties:
Formation energy ... -304.3 meV per atom
E above lowest polymorph ... 0.065 eV/atom
Symmetry ... F-43m
Raw total energy ... -6.430 eV per atom

```
TbTmRu
1.0
0.000 3.364 3.364
3.364 0.000 3.364
3.364 3.364 0.000
Tb Tm Ru
1 1 1
Direct
0.000 0.000 0.000 Tb
0.500 0.500 0.500 Tm
0.750 0.750 0.750 Ru
```

=====

Record 6
TbTm3Ru3 after structural relaxation, computed with PBE-GGA.

Computed properties:
Formation energy ... -394.5 meV per atom
E above lowest polymorph ... 0.022 eV/atom
Symmetry ... C2/m
Raw total energy ... -6.948 eV per atom

```
TbTm3Ru3
1.0
4.745 -4.819 0.000
4.745 4.819 0.000
-0.006 0.000 6.683
Tb Tm Ru
2 6 6
Direct
0.245 0.245 0.000 Tb
0.755 0.755 0.000 Tb
0.255 0.745 0.500 Tm
0.256 0.256 0.500 Tm
0.262 0.738 0.000 Tm
0.738 0.262 0.000 Tm
0.744 0.744 0.500 Tm
0.745 0.255 0.500 Tm
0.000 0.500 0.252 Ru
0.000 0.500 0.748 Ru
0.500 0.000 0.252 Ru
0.500 0.000 0.748 Ru
0.500 0.500 0.252 Ru
0.500 0.500 0.748 Ru
```

=====

Record 7
TbTm3Ru after structural relaxation, computed with PBE-GGA.

Computed properties:
Formation energy ... -221.2 meV per atom
E above lowest polymorph ... 0.000 eV/atom
Symmetry ... C2/m
Raw total energy ... -5.685 eV per atom

```
TbTm3Ru
1.0
5.787 -4.216 0.000
5.787 4.216 0.000
-5.395 0.000 5.815
Tb Tm Ru
2 6 2
Direct
0.053 0.053 0.343 Tb
0.947 0.947 0.657 Tb
0.056 0.449 0.207 Tm
0.445 0.445 0.742 Tm
0.449 0.056 0.207 Tm
0.551 0.944 0.793 Tm
0.555 0.555 0.258 Tm
0.944 0.551 0.793 Tm
0.251 0.251 0.882 Ru
0.749 0.749 0.118 Ru
```

=====

Record 8
Tb3Tm2Ru4 after structural relaxation, computed with PBE-GGA.

Computed properties:
Formation energy ... -347.3 meV per atom
Symmetry ... P-3m1
Raw total energy ... -7.007 eV per atom

```
Tb3Tm2Ru4
1.0
4.851 0.000 0.000
-2.425 4.201 0.000
0.000 0.000 9.183
Tb Tm Ru
3 2 4
Direct
0.000 0.000 0.000 Tb
0.333 0.667 0.409 Tb
0.667 0.333 0.591 Tb
0.333 0.667 0.796 Tm
0.667 0.333 0.204 Tm
0.000 0.000 0.356 Ru
0.000 0.000 0.644 Ru
0.333 0.667 0.106 Ru
0.667 0.333 0.894 Ru
```

=====

> Which formula does entry 5 have?

TbTmRu

=====

> Which value of raw total energy does entry 2 give?

-7.275 eV per atom

=====

> Which of these has the highest formation energy?

TbTm3Ru

=====

> Which of these has the lowest raw total energy?

TbTm3Ru4